No. 1
Crystalline Li2LaRu at its relaxed geometry, computed with PBE-GGA.

## Properties
- E_form: 446 meV/atom
- Electronic total energy: -4.061 eV per atom
- Spin magnetization: 1.394 μB/f.u.

Lattice parameters (Å, degrees): 2.968 2.968 8.677 90.00 90.00 90.00
Last column: magnetic moment on the atom in μB.
Element x y z (fractional)
Li: 0.000 0.000 0.439  -0.01
Ru: 0.500 0.500 0.250  1.43
La: 0.500 0.500 0.750  -0.02
Li: 0.000 0.000 0.061  -0.01

No. 2
Crystalline LiLa3Ru at its relaxed geometry, computed with PBE-GGA.

## Properties
- E_form: 609 meV/atom
- Electronic total energy: -4.585 eV per atom
- Spin magnetization: 0.000 μB/f.u.

Lattice parameters (Å, degrees): 5.732 5.732 12.424 76.66 76.66 90.00
Element x y z (fractional)
Ru: 0.697 0.197 0.605
La: 0.132 0.371 0.736
Li: 0.250 0.750 0.500
La: 0.629 0.868 0.264
La: 0.288 0.288 0.424
La: 0.107 0.868 0.264
Li: 0.000 0.000 0.000
La: 0.132 0.893 0.736
La: 0.712 0.712 0.576
Ru: 0.803 0.303 0.395

No. 3
Crystalline LiLa2Ru at its relaxed geometry, computed with PBE-GGA.

## Properties
- E_form: 85 meV/atom
- Electronic total energy: -5.176 eV per atom
- Spin magnetization: 0.000 μB/f.u.

Lattice parameters (Å, degrees): 4.971 4.971 4.971 60.00 60.00 60.00
Element x y z (fractional)
La: 0.250 0.250 0.250
La: 0.000 0.000 0.000
Li: 0.500 0.500 0.500
Ru: 0.750 0.750 0.750

No. 4
Crystalline LiLa3Ru at its relaxed geometry, computed with PBE-GGA.

## Properties
- E_form: -113 meV/atom
- Electronic total energy: -5.307 eV per atom
- Spin magnetization: 0.000 μB/f.u.

Lattice parameters (Å, degrees): 6.074 7.586 7.501 90.00 118.70 90.00
Element x y z (fractional)
La: 0.902 0.510 0.217
La: 0.098 0.490 0.783
Li: 0.413 0.750 0.181
La: 0.902 0.990 0.217
La: 0.098 0.010 0.783
La: 0.491 0.750 0.630
Li: 0.587 0.250 0.819
Ru: 0.127 0.250 0.498
Ru: 0.873 0.750 0.502
La: 0.509 0.250 0.370

No. 5
Crystalline LiLa2Ru at its relaxed geometry, computed with PBE-GGA.

## Properties
- E_form: -43 meV/atom
- Electronic total energy: -5.304 eV per atom
- Spin magnetization: 0.000 μB/f.u.

Lattice parameters (Å, degrees): 4.581 4.011 5.838 69.92 90.00 90.00
Element x y z (fractional)
La: 0.500 0.258 0.359
Li: 0.000 0.691 0.492
La: 0.000 0.990 0.893
Ru: 0.500 0.561 0.756

No. 6
Crystalline LiLa3Ru at its relaxed geometry, computed with PBE-GGA.

## Properties
- E_form: 36 meV/atom
- Electronic total energy: -5.158 eV per atom
- Spin magnetization: 0.000 μB/f.u.

Lattice parameters (Å, degrees): 7.544 9.546 8.337 90.00 90.00 90.00
Element x y z (fractional)
Li: 0.000 0.500 0.500
La: 0.131 0.929 0.843
La: 0.369 0.429 0.343
Ru: 0.898 0.750 0.995
La: 0.148 0.750 0.256
La: 0.869 0.429 0.157
La: 0.648 0.750 0.244
Li: 0.500 0.500 0.000
La: 0.631 0.571 0.657
Li: 0.000 0.000 0.500
Ru: 0.398 0.750 0.505
Ru: 0.102 0.250 0.005
La: 0.852 0.250 0.744
La: 0.369 0.071 0.343
Li: 0.500 0.000 0.000
La: 0.352 0.250 0.756
La: 0.131 0.571 0.843
La: 0.631 0.929 0.657
La: 0.869 0.071 0.157
Ru: 0.602 0.250 0.495

No. 7
Crystalline LiLaRu at its relaxed geometry, computed with PBE-GGA.

## Properties
- E_form: 543 meV/atom
- Electronic total energy: -4.829 eV per atom
- Spin magnetization: 0.000 μB/f.u.

Lattice parameters (Å, degrees): 4.575 4.575 4.575 60.00 60.00 60.00
Element x y z (fractional)
Ru: 0.500 0.500 0.500
Li: 0.000 0.000 0.000
La: 0.750 0.750 0.750

No. 8
Crystalline Li2LaRu at its relaxed geometry, computed with PBE-GGA.

## Properties
- E_form: -8 meV/atom
- Electronic total energy: -4.516 eV per atom
- Spin magnetization: 0.000 μB/f.u.

Lattice parameters (Å, degrees): 5.532 5.532 5.532 138.06 138.06 60.81
Element x y z (fractional)
La: 0.750 0.250 0.500
Li: 0.000 0.000 0.000
Li: 0.500 0.500 0.000
Ru: 0.250 0.750 0.500